(1)
Mg2AsPb | SCAN | single point on PBEsol structure

Final energy ... -26.658 eV per atom
Excess energy over the best structure of this formula in the dataset ... 0.64 eV/f.u.
Theoretical density ... 6.064 g cm⁻³
Symmetry ... No. 71

a b c (Å): 3.9450 5.2874 5.4525
angles (deg): 119.00 111.21 90.00
Fractional coordinates of all 4 atoms:
Mg 0.7200 0.7200 0.4400
Mg 0.2800 0.2800 0.5600
Pb 0.5000 0.0000 0.0000
As 0.0000 0.5000 0.0000

(2)
SiWSN2 | SCAN | single point on PBEsol structure

Final energy ... -21.067 eV per atom
Theoretical density ... 6.183 g cm⁻³
Symmetry ... No. 123

a b c (Å): 3.8749 3.8749 4.8650
angles (deg): 90.00 90.00 90.00
Fractional coordinates of all 5 atoms:
W 0.0000 0.0000 0.0000
Si 0.5000 0.5000 0.5000
N 0.5000 0.0000 0.0000
N 0.0000 0.5000 0.0000
S 0.0000 0.0000 0.5000

(3)
SrZr2Cr | SCAN | single point on PBEsol structure

Final energy ... -24.982 eV per atom
Excess energy over the best structure of this formula in the dataset ... 0.00 eV/f.u.
Theoretical density ... 5.698 g cm⁻³
Symmetry ... No. 216

a b c (Å): 5.1011 5.1011 5.1011
angles (deg): 60.00 60.00 60.00
Site moments in Bohr magnetons follow the coordinates.
Fractional coordinates of all 4 atoms:
Sr 0.2500 0.2500 0.2500  -0.03
Cr 0.5000 0.5000 0.5000  3.80
Zr 0.7500 0.7500 0.7500  -0.75
Zr 0.0000 0.0000 0.0000  -1.11

(4)
CaTlI2N | SCAN | single point on PBEsol structure

Final energy ... -33.310 eV per atom
Theoretical density ... 5.009 g cm⁻³
Symmetry ... No. 123

a b c (Å): 4.5682 6.0970 6.0970
angles (deg): 90.00 90.00 90.00
Site moments in Bohr magnetons follow the coordinates.
Fractional coordinates of all 5 atoms:
I 0.0000 0.5000 0.0000  0.04
I 0.0000 0.0000 0.5000  0.04
Ca 0.0000 0.0000 0.0000  -0.01
Tl 0.5000 0.5000 0.5000  0.00
N 0.5000 0.0000 0.0000  1.18

(5)
LaZrSe2 | SCAN | single point on PBEsol structure

Final energy ... -29.752 eV per atom
Excess energy over the best structure of this formula in the dataset ... 1.63 eV/f.u.
Theoretical density ... 5.877 g cm⁻³
Symmetry ... No. 166

a b c (Å): 3.7279 3.7279 9.3608
angles (deg): 78.51 78.51 60.00
Fractional coordinates of all 4 atoms:
Se 0.8929 0.8929 0.3212
Se 0.1071 0.1071 0.6788
La 0.0000 0.0000 0.0000
Zr 0.5000 0.5000 0.5000

(6)
La3Al5O12 | SCAN | single point on PBEsol structure

Final energy ... -15.675 eV per atom
Theoretical density ... 5.228 g cm⁻³
Symmetry ... No. 230

a b c (Å): 10.7064 10.7064 10.7064
angles (deg): 109.47 109.47 109.47
Fractional coordinates of all 80 atoms:
Al 0.2500 0.8750 0.6250
Al 0.8750 0.1250 0.7500
Al 0.5000 0.5000 0.5000
Al 0.1250 0.2500 0.3750
Al 0.0000 0.5000 0.5000
Al 0.5000 0.5000 0.0000
Al 0.0000 0.5000 0.0000
Al 0.2500 0.3750 0.1250
Al 0.3750 0.6250 0.7500
Al 0.3750 0.7500 0.1250
Al 0.0000 0.0000 0.5000
Al 0.5000 0.0000 0.5000
Al 0.1250 0.8750 0.2500
Al 0.8750 0.7500 0.6250
Al 0.7500 0.6250 0.8750
Al 0.6250 0.3750 0.2500
Al 0.0000 0.0000 0.0000
Al 0.6250 0.2500 0.8750
Al 0.7500 0.1250 0.3750
Al 0.5000 0.0000 0.0000
O 0.8987 0.5794 0.8865
O 0.3193 0.0122 0.3987
O 0.8070 0.8193 0.9206
O 0.3070 0.3865 0.9878
O 0.0122 0.1135 0.6930
O 0.4878 0.3070 0.8865
O 0.1013 0.4206 0.1135
O 0.6013 0.1135 0.4206
O 0.3070 0.9206 0.8193
O 0.1807 0.6013 0.9878
O 0.3865 0.8987 0.0794
O 0.6135 0.5122 0.1930
O 0.1013 0.6807 0.4878
O 0.4206 0.8070 0.3193
O 0.9878 0.1013 0.1807
O 0.6930 0.0794 0.1807
O 0.1135 0.9206 0.1013
O 0.8193 0.4206 0.3070
O 0.1930 0.0122 0.6135
O 0.5794 0.3865 0.3987
O 0.0122 0.8987 0.8193
O 0.0794 0.3987 0.3865
O 0.6013 0.4878 0.6807
O 0.6807 0.9878 0.6013
O 0.0794 0.6807 0.1930
O 0.8865 0.0794 0.8987
O 0.6807 0.6930 0.5794
O 0.8865 0.8070 0.4878
O 0.4206 0.6135 0.6013
O 0.8193 0.3987 0.0122
O 0.5794 0.1930 0.6807
O 0.6930 0.6135 0.0122
O 0.9206 0.3193 0.8070
O 0.3865 0.4878 0.8070
O 0.3987 0.8865 0.5794
O 0.6135 0.1013 0.9206
O 0.1135 0.1930 0.5122
O 0.3987 0.5122 0.3193
O 0.8070 0.9878 0.3865
O 0.5122 0.6930 0.1135
O 0.8987 0.3193 0.5122
O 0.5122 0.8193 0.8987
O 0.1930 0.1807 0.0794
O 0.9206 0.6013 0.6135
O 0.3193 0.3070 0.4206
O 0.4878 0.1807 0.1013
O 0.1807 0.5794 0.6930
O 0.9878 0.8865 0.3070
La 0.3750 0.2500 0.6250
La 0.1250 0.7500 0.8750
La 0.6250 0.7500 0.3750
La 0.3750 0.1250 0.2500
La 0.2500 0.1250 0.8750
La 0.8750 0.2500 0.1250
La 0.6250 0.8750 0.7500
La 0.7500 0.8750 0.1250
La 0.1250 0.3750 0.7500
La 0.7500 0.3750 0.6250
La 0.8750 0.6250 0.2500
La 0.2500 0.6250 0.3750

(7)
TiBe2Pb | SCAN | single point on PBEsol structure

Final energy ... -24.562 eV per atom
Theoretical density ... 7.072 g cm⁻³
Symmetry ... No. 122

a b c (Å): 5.4324 5.5664 5.5664
angles (deg): 76.22 60.79 60.79
Fractional coordinates of all 8 atoms:
Pb 0.0000 0.0000 0.0000
Pb 0.7500 0.5000 0.5000
Ti 0.5000 0.0000 0.0000
Ti 0.2500 0.5000 0.5000
Be 0.6271 0.9979 0.4979
Be 0.8750 0.4979 0.0021
Be 0.3750 0.5021 0.9979
Be 0.1229 0.0021 0.5021

(8)
InB2I | SCAN | single point on PBEsol structure

Final energy ... -19.240 eV per atom
Theoretical density ... 6.306 g cm⁻³
Symmetry ... No. 225

a b c (Å): 4.6115 4.6115 4.6115
angles (deg): 60.00 60.00 60.00
Fractional coordinates of all 4 atoms:
B 0.7500 0.7500 0.7500
B 0.2500 0.2500 0.2500
In 0.0000 0.0000 0.0000
I 0.5000 0.5000 0.5000